# LiNiBO3

An optimized crystal structure of LiNiBO3 (GGA+U, Alexandria).

The energy comes out at -6.2181 eV/atom. For the density of states at the Fermi level, the calculation gives 0.000 states/eV per cell.

The structure belongs to space group P-6 (No. 174); the cell edges are 8.0805, 8.0805 and 3.1218 Å and the angles 90.00°, 90.00° and 120.00°. The asymmetric unit holds Li at (0.0047, 0.7078, 0.0000), Ni at (0.3802, 0.0062, 0.5000), B at (0.0000, 0.0000, 0.5000), B at (0.3333, 0.6667, 0.0000), B at (0.6667, 0.3333, 0.5000), O at (0.0964, 0.1989, 0.5000), O at (0.1368, 0.5480, 0.0000) and O at (0.4787, 0.2922, 0.5000).